# BaScAuSe2S

Crystalline BaScAuSe2S at its relaxed geometry (PBE, OQMD).

Properties
Its total magnetization is 0.0005 μB/atom. The raw total energy comes out at -5.167 eV/atom.

Cell lengths 7.2790, 7.2790, 10.3106 Å; angles 90.00, 90.00, 147.14 degrees
Last column: nearest neighbours and their distance in Å.
Positions (direct):
Au 0.9668 0.0332 0.2500  2 S 2.53, 2 Se 2.58
Au 0.0332 0.9668 0.7500  2 S 2.53, 2 Se 2.58
Ba 0.2457 0.7543 0.2500  2 S 3.18, 6 Se 3.37-3.43
Ba 0.7543 0.2457 0.7500  2 S 3.18, 6 Se 3.37-3.43
S 0.5722 0.4279 0.2500  2 Au 2.53, 2 Sc 2.77
S 0.4279 0.5722 0.7500  2 Au 2.53, 2 Sc 2.77
Sc 0.5000 0.5000 0.0000  2 S 2.77, 4 Se 2.81
Sc 0.5000 0.5000 0.5000  2 S 2.77, 4 Se 2.81
Se 0.8663 0.1337 0.0400  1 Au 2.58, 2 Sc 2.81
Se 0.8663 0.1337 0.4600  1 Au 2.58, 2 Sc 2.81
Se 0.1337 0.8663 0.5400  1 Au 2.58, 2 Sc 2.81
Se 0.1337 0.8663 0.9600  1 Au 2.58, 2 Sc 2.81

---

# LiZrCuSe3

Crystalline LiZrCuSe3 at its relaxed geometry (PBE, OQMD).

Properties
Its total magnetization is 0.0004 μB/atom. The value obtained for the energy relative to the lowest polymorph listed for this composition is 0.011 eV per atom. The raw total energy comes out at -5.126 eV/atom.

Cell lengths 10.1024, 3.7725, 12.9290 Å; angles 90.00, 90.00, 90.00 degrees
Last column: nearest neighbours and their distance in Å.
Positions (direct):
Cu 0.7443 0.7500 0.2260  4 Se 2.41-2.44
Cu 0.2443 0.7500 0.2740  4 Se 2.41-2.44
Cu 0.7557 0.2500 0.7260  4 Se 2.41-2.44
Cu 0.2557 0.2500 0.7740  4 Se 2.41-2.44
Li 0.7389 0.2500 0.0278  6 Se 2.83-3.02
Li 0.2389 0.2500 0.4722  6 Se 2.83-3.02
Li 0.7611 0.7500 0.5278  6 Se 2.83-3.02
Li 0.2611 0.7500 0.9722  6 Se 2.83-3.02
Se 0.9282 0.7500 0.1070  1 Cu 2.41
Se 0.5579 0.7500 0.1094  1 Cu 2.41
Se 0.2443 0.2500 0.1544  2 Cu 2.44
Se 0.7443 0.2500 0.3456  2 Cu 2.44
Se 0.0579 0.7500 0.3906  1 Cu 2.41
Se 0.4282 0.7500 0.3930  1 Cu 2.41
Se 0.5718 0.2500 0.6070  1 Cu 2.41
Se 0.9421 0.2500 0.6094  1 Cu 2.41
Se 0.2557 0.7500 0.6544  2 Cu 2.44
Se 0.7557 0.7500 0.8456  2 Cu 2.44
Se 0.4421 0.2500 0.8906  1 Cu 2.41
Se 0.0718 0.2500 0.8930  1 Cu 2.41
Zr 0.9935 0.2500 0.2481  6 Se 2.71-2.82
Zr 0.4935 0.2500 0.2519  6 Se 2.71-2.82
Zr 0.5065 0.7500 0.7481  6 Se 2.71-2.82
Zr 0.0065 0.7500 0.7519  6 Se 2.71-2.82